Below is a relaxed Tl3GeMo crystal, with properties calculated at the PBE-GGA level. Values from VASP.

Summary:
Its formation energy is 1.1820 eV per atom. The space group is Pm-3m, No. 221.

```
&SYSTEM
  ibrav = 0, nat = 5, ntyp = 3
/
ATOMIC_SPECIES
Tl 204.38 Tl.upf
Ge 72.64 Ge.upf
Mo 95.94 Mo.upf
CELL_PARAMETERS angstrom
5.483 0.000 0.000
0.000 5.483 0.000
0.000 0.000 5.483
ATOMIC_POSITIONS crystal
Tl 0.000 0.000 0.500
Tl 0.000 0.500 0.000
Tl 0.500 0.000 0.000
Ge 0.000 0.000 0.000
Mo 0.500 0.500 0.500
```